Entry 1:
Computed, not measured: a relaxed structure of CaAl2Au4 at the GGA-PBE level of DFT.

formation enthalpy at 0 K = -547 meV per atom
total magnetization = 0.000 μB per atom
E above lowest polymorph = 0 meV/atom

Cell: 5.500 5.610 5.610 Å, 76.09 60.64 60.64°
Positions (direct):
Ca 0.000 0.000 0.000
Au 0.703 0.594 0.000
Au 0.297 0.000 0.406
Au 0.703 0.000 0.594
Au 0.297 0.406 0.000
Al 0.750 0.500 0.500
Al 0.250 0.500 0.500



Entry 2:
Computed, not measured: a relaxed structure of Nd3Sm2Cd6 at the GGA-PBE level of DFT.

formation enthalpy at 0 K = -15 meV per atom
total magnetization = 0.000 μB per atom

Cell: 4.139 4.139 19.776 Å, 96.01 96.01 90.00°
Positions (direct):
Cd 0.727 0.727 0.455
Cd 0.273 0.273 0.545
Cd 0.566 0.066 0.132
Cd 0.066 0.566 0.132
Cd 0.434 0.934 0.868
Cd 0.934 0.434 0.868
Nd 0.812 0.812 0.623
Nd 0.000 0.000 0.000
Nd 0.188 0.188 0.377
Sm 0.367 0.367 0.735
Sm 0.633 0.633 0.265



Entry 3:
Computed, not measured: a relaxed structure of Ca2LaMo at the GGA-PBE level of DFT.

formation enthalpy at 0 K = 690 meV per atom
total magnetization = 0.005 μB per atom
E above lowest polymorph = 237 meV/atom

Cell: 11.877 11.877 11.877 Å, 16.36 16.36 16.36°
Positions (direct):
Ca 0.485 0.485 0.485
Ca 0.015 0.015 0.015
La 0.250 0.250 0.250
Mo 0.750 0.750 0.750



Entry 4:
Computed, not measured: a relaxed structure of AlTl2Hg at the GGA-PBE level of DFT.

formation enthalpy at 0 K = 115 meV per atom
total magnetization = 0.000 μB per atom
E above lowest polymorph = 0 meV/atom

Cell: 3.521 3.521 8.550 Å, 90.00 90.00 90.00°
Positions (direct):
Tl 0.000 0.000 0.972
Tl 0.500 0.500 0.293
Al 0.000 0.000 0.530
Hg 0.500 0.500 0.705



Entry 5:
Computed, not measured: a relaxed structure of Cs2AlSe at the GGA-PBE level of DFT.

total magnetization = 0.249 μB per atom
E_form (uncorrected) = -78 meV per atom

Cell: 6.176 6.176 6.176 Å, 60.00 60.00 60.00°
Positions (direct):
Se 0.500 0.500 0.500
Cs 0.250 0.250 0.250
Cs 0.750 0.750 0.750
Al 0.000 0.000 0.000



Entry 6:
Computed, not measured: a relaxed structure of Pr2ThV at the GGA-PBE level of DFT.

formation enthalpy at 0 K = 638 meV per atom
total magnetization = 0.827 μB per atom

Cell: 3.488 3.488 11.847 Å, 81.54 81.54 60.00°
Positions (direct):
Pr 0.918 0.918 0.247
Pr 0.082 0.082 0.753
Th 0.500 0.500 0.500
V 0.000 0.000 0.000